#one
DFT (GGA-PBE) results for crystalline PmPaC at its relaxed geometry.

Lattice parameters (Å, degrees): 7.5408 7.5408 7.5408 34.03 34.03 34.03
With the nearest neighbours (Å) after each atom.
Sites, in units of the cell vectors:
1 Pm 0.1214 0.1214 0.1214  4 C 2.69-2.79
2 Pm 0.8786 0.8786 0.8786  4 C 2.69-2.79
3 Pa 0.3638 0.3638 0.3638  1 C 2.37
4 Pa 0.6362 0.6362 0.6362  1 C 2.37
5 C 0.2525 0.2525 0.2525  1 Pa 2.37
6 C 0.7475 0.7475 0.7475  1 Pa 2.37

Output
M_tot	0.001	μB/f.u.
DOS(E_F)	8.54	states/eV per cell

---

#two
DFT (GGA-PBE) results for crystalline PmPaC at its relaxed geometry.

Lattice parameters (Å, degrees): 4.3669 4.3669 4.3669 60.00 60.00 60.00
With the nearest neighbours (Å) after each atom.
Sites, in units of the cell vectors:
1 Pm 0.0000 0.0000 0.0000  4 C 2.67
2 Pa 0.5000 0.5000 0.5000  4 C 2.67
3 C 0.7500 0.7500 0.7500  4 Pa 2.67, 4 Pm 2.67

Output
M_tot	0.000	μB/f.u.
DOS(E_F)	3.14	states/eV per cell

---

Which is the most stable structure? #one is the most stable.

---

#one
DFT (GGA-PBE) results for crystalline PmPa2C3 at its relaxed geometry.

Lattice parameters (Å, degrees): 6.3023 6.3023 6.3023 146.36 131.58 60.25
With the nearest neighbours (Å) after each atom.
Sites, in units of the cell vectors:
1 Pm 0.0000 0.0000 0.0000  6 C 2.58-2.73
2 Pa 0.3337 0.3337 0.0000  6 C 2.43-2.59
3 Pa 0.6663 0.6663 0.0000  6 C 2.43-2.59
4 C 0.1867 0.6867 0.5000  4 Pa 2.43-2.59
5 C 0.5000 0.0000 0.5000  4 Pa 2.57, 2 Pm 2.58
6 C 0.8133 0.3133 0.5000  4 Pa 2.43-2.59

Output
M_tot	0.000	μB/f.u.
DOS(E_F)	3.60	states/eV per cell

---

#two
DFT (GGA-PBE) results for crystalline PmPa2C3 at its relaxed geometry.

Lattice parameters (Å, degrees): 5.9712 5.9712 6.8565 90.00 90.00 60.01
With the nearest neighbours (Å) after each atom.
Sites, in units of the cell vectors:
1 Pm 0.0007 0.9993 0.7500  6 C 2.97-3.00
2 Pm 0.9993 0.0007 0.2500  6 C 2.97-3.00
3 Pa 0.3333 0.3333 0.0000  6 C 2.43
4 Pa 0.3333 0.3333 0.5000  6 C 2.43
5 Pa 0.6667 0.6667 0.0000  6 C 2.43
6 Pa 0.6667 0.6667 0.5000  6 C 2.43
7 C 0.0002 0.4977 0.2500  4 Pa 2.43
8 C 0.9998 0.5023 0.7500  4 Pa 2.43
9 C 0.4977 0.0002 0.7500  4 Pa 2.43
10 C 0.4985 0.5015 0.2500  4 Pa 2.43
11 C 0.5015 0.4985 0.7500  4 Pa 2.43
12 C 0.5023 0.9998 0.2500  4 Pa 2.43

Output
M_tot	0.000	μB/f.u.
DOS(E_F)	7.11	states/eV per cell

---

Which is the most stable structure? #one is the most stable.

---

#one
DFT (GGA-PBE) results for crystalline PrPaC at its relaxed geometry.

Lattice parameters (Å, degrees): 3.5826 3.5826 6.2694 90.00 90.00 120.00
With the nearest neighbours (Å) after each atom.
Sites, in units of the cell vectors:
1 Pr 0.0000 0.0000 0.0000  3 C 2.69
2 Pa 0.3333 0.6667 0.4620  3 C 2.38
3 C 0.6667 0.3333 0.2745  3 Pa 2.38

Output
M_tot	1.053	μB/f.u.
DOS(E_F)	3.56	states/eV per cell

---

#two
DFT (GGA-PBE) results for crystalline PrPaC at its relaxed geometry.

Lattice parameters (Å, degrees): 6.6387 6.6387 6.6387 151.86 151.86 40.22
With the nearest neighbours (Å) after each atom.
Sites, in units of the cell vectors:
1 Pr 0.0000 0.0000 0.0000  1 Pa 3.10, 4 C 3.19, 4 Pr 3.23
2 Pa 0.7515 0.7515 0.0000  4 C 2.44
3 C 0.3217 0.3217 0.0000  4 Pa 2.44

Output
M_tot	0.000	μB/f.u.
DOS(E_F)	4.05	states/eV per cell

---

#three
DFT (GGA-PBE) results for crystalline PrPaC at its relaxed geometry.

Lattice parameters (Å, degrees): 4.1013 4.1013 7.7746 105.23 105.23 90.01
With the nearest neighbours (Å) after each atom.
Sites, in units of the cell vectors:
1 Pr 0.1835 0.1835 0.3667  5 C 2.96-3.08
2 Pr 0.8165 0.8165 0.6333  5 C 2.96-3.08
3 Pa 0.0000 0.5000 0.0000  4 C 2.61, 4 Pa 2.90
4 Pa 0.5000 0.0000 0.0000  4 C 2.61, 4 Pa 2.90
5 C 0.3890 0.3890 0.7764  4 Pa 2.61
6 C 0.6110 0.6110 0.2236  4 Pa 2.61

Output
M_tot	0.000	μB/f.u.
DOS(E_F)	6.70	states/eV per cell

---

Which is the most stable structure? #one is the most stable.

---

#one
DFT (GGA-PBE) results for crystalline PuPaC2 at its relaxed geometry.

Lattice parameters (Å, degrees): 6.1336 6.1336 6.1336 34.15 34.15 34.15
With the nearest neighbours (Å) after each atom.
Sites, in units of the cell vectors:
1 Pu 0.0000 0.0000 0.0000  6 C 2.57
2 Pa 0.5000 0.5000 0.5000  6 C 2.50
3 C 0.2464 0.2464 0.2464  3 Pa 2.50, 3 Pu 2.57
4 C 0.7536 0.7536 0.7536  3 Pa 2.50, 3 Pu 2.57

Output
M_tot	4.868	μB/f.u.
DOS(E_F)	9.30	states/eV per cell

---

#two
DFT (GGA-PBE) results for crystalline PuPaC2 at its relaxed geometry.

Lattice parameters (Å, degrees): 6.2940 6.2940 6.2940 32.25 32.25 32.25
With the nearest neighbours (Å) after each atom.
Sites, in units of the cell vectors:
1 Pu 0.0000 0.0000 0.0000  6 C 2.50-2.51
2 Pa 0.1659 0.1659 0.1659  6 C 2.50-2.53
3 C 0.4165 0.4165 0.4165  3 Pa 2.50, 3 Pu 2.51
4 C 0.5841 0.5841 0.5841  3 Pu 2.50, 3 Pa 2.53

Output
M_tot	4.884	μB/f.u.
DOS(E_F)	7.57	states/eV per cell

---

Which is the most stable structure? #one is the most stable.

---

#one
DFT (GGA-PBE) results for crystalline PuPaC at its relaxed geometry.

Lattice parameters (Å, degrees): 6.2149 6.2149 6.2149 150.11 150.11 42.78
With the nearest neighbours (Å) after each atom.
Sites, in units of the cell vectors:
1 Pu 0.0000 0.0000 0.0000  4 C 2.41
2 Pa 0.2406 0.2406 0.0000  1 C 2.19
3 C 0.4299 0.4299 0.0000  1 Pa 2.19, 4 Pu 2.41

Output
M_tot	4.504	μB/f.u.
DOS(E_F)	6.55	states/eV per cell

---

#two
DFT (GGA-PBE) results for crystalline PuPaC at its relaxed geometry.

Lattice parameters (Å, degrees): 4.2300 4.2300 4.2300 60.00 60.00 60.00
With the nearest neighbours (Å) after each atom.
Sites, in units of the cell vectors:
1 Pu 0.0000 0.0000 0.0000  4 C 2.59
2 Pa 0.5000 0.5000 0.5000  4 C 2.59
3 C 0.2500 0.2500 0.2500  4 Pa 2.59, 4 Pu 2.59

Output
M_tot	5.488	μB/f.u.
DOS(E_F)	6.85	states/eV per cell

---

#three
DFT (GGA-PBE) results for crystalline PuPaC at its relaxed geometry.

Lattice parameters (Å, degrees): 3.4892 3.4892 4.9485 90.00 90.00 120.00
With the nearest neighbours (Å) after each atom.
Sites, in units of the cell vectors:
1 Pu 0.0000 0.0000 0.0000  3 C 2.49
2 Pa 0.6667 0.3333 0.5799  3 C 2.45
3 C 0.3333 0.6667 0.2967  3 Pa 2.45, 3 Pu 2.49

Output
M_tot	5.825	μB/f.u.
DOS(E_F)	4.50	states/eV per cell

---

Which is the most stable structure? #three is the most stable.

---

#one
DFT (GGA-PBE) results for crystalline PaReC at its relaxed geometry.

Lattice parameters (Å, degrees): 5.5214 5.5214 5.5214 149.11 149.11 44.25
With the nearest neighbours (Å) after each atom.
Sites, in units of the cell vectors:
1 Pa 0.0000 0.0000 0.0000  5 Re 2.85-3.08, 5 C 2.93-3.05, 4 Pa 2.94
2 Re 0.2783 0.2783 0.0000  4 C 2.22
3 C 0.7021 0.7021 0.0000  4 Re 2.22

Output
M_tot	0.000	μB/f.u.
DOS(E_F)	2.84	states/eV per cell

---

#two
DFT (GGA-PBE) results for crystalline PaReC at its relaxed geometry.

Lattice parameters (Å, degrees): 11.2641 3.1739 5.5956 90.00 90.00 90.00
With the nearest neighbours (Å) after each atom.
Sites, in units of the cell vectors:
1 Pa 0.1490 0.2500 0.0760  3 C 2.45-2.53
2 Pa 0.3510 0.7500 0.5760  3 C 2.45-2.53
3 Pa 0.6490 0.2500 0.4240  3 C 2.45-2.53
4 Pa 0.8510 0.7500 0.9240  3 C 2.45-2.53
5 Re 0.0853 0.7500 0.6000  3 C 2.08-2.15
6 Re 0.4147 0.2500 0.1000  3 C 2.08-2.15
7 Re 0.5853 0.7500 0.9000  3 C 2.08-2.15
8 Re 0.9147 0.2500 0.4000  3 C 2.08-2.15
9 C 0.0072 0.7500 0.2488  3 Re 2.08-2.15
10 C 0.4928 0.2500 0.7488  3 Re 2.08-2.15
11 C 0.5072 0.7500 0.2512  3 Re 2.08-2.15
12 C 0.9928 0.2500 0.7512  3 Re 2.08-2.15

Output
M_tot	0.000	μB/f.u.
DOS(E_F)	9.01	states/eV per cell

---

#three
DFT (GGA-PBE) results for crystalline PaReC at its relaxed geometry.

Lattice parameters (Å, degrees): 3.5019 3.5019 4.6220 90.00 90.00 120.00
With the nearest neighbours (Å) after each atom.
Sites, in units of the cell vectors:
1 Pa 0.0000 0.0000 0.0000  6 C 3.06-3.08, 6 Re 3.07
2 Re 0.6667 0.3333 0.5012  3 C 2.02
3 C 0.3333 0.6667 0.5029  3 Re 2.02

Output
M_tot	0.000	μB/f.u.
DOS(E_F)	3.06	states/eV per cell

---

Which is the most stable structure? #two is the most stable.